Entry 1:
The following is a DFT calculation (GGA-PBE) of HSeI2 after structural relaxation.

space-group type = P2_1/c
raw total energy = -38.4 eV for the cell shown

Lattice parameters (Å, degrees): 7.4839 14.7296 5.3593 90.00 95.09 90.00
Last column: nearest neighbours and their distance in Å.
Atoms (fractional coordinates):
1 H 0.0696 0.2193 0.4846  1 I 1.66
2 H 0.0696 0.2807 0.9846  1 I 1.66
3 H 0.9304 0.7193 0.0154  1 I 1.66
4 H 0.9304 0.7807 0.5154  1 I 1.66
5 Se 0.3596 0.5328 0.4150  1 Se 2.42, 1 I 2.56
6 Se 0.3596 0.9672 0.9150  1 Se 2.42, 1 I 2.56
7 Se 0.6404 0.0328 0.0850  1 Se 2.42, 1 I 2.56
8 Se 0.6404 0.4672 0.5850  1 Se 2.42, 1 I 2.56
9 I 0.1074 0.1333 0.2971  1 H 1.66
10 I 0.1074 0.3667 0.7971  1 H 1.66
11 I 0.3846 0.6688 0.7146  1 Se 2.56
12 I 0.3846 0.8312 0.2146  1 Se 2.56
13 I 0.6154 0.1688 0.7854  1 Se 2.56
14 I 0.6154 0.3312 0.2854  1 Se 2.56
15 I 0.8926 0.6333 0.2029  1 H 1.66
16 I 0.8926 0.8667 0.7029  1 H 1.66

=====

Entry 2:
The following is a DFT calculation (GGA-PBE) of H7Se2I2 after structural relaxation.

N(E_F) = 2.6 states/eV/cell
space-group type = C2/m
raw total energy = -31.0 eV for the cell shown

Lattice parameters (Å, degrees): 6.9867 6.9867 4.9008 97.36 97.36 109.90
Last column: nearest neighbours and their distance in Å.
Atoms (fractional coordinates):
1 H 0.0000 0.0000 0.0000  2 Se 1.97
2 H 0.2197 0.4101 0.6818  1 Se 1.69
3 H 0.3006 0.3006 0.0725  1 Se 1.50
4 H 0.4101 0.2197 0.6818  1 Se 1.69
5 H 0.5899 0.7803 0.3182  1 Se 1.69
6 H 0.6994 0.6994 0.9275  1 Se 1.50
7 H 0.7803 0.5899 0.3182  1 Se 1.69
8 Se 0.1823 0.1823 0.7884  1 H 1.50
9 Se 0.8177 0.8177 0.2116  1 H 1.50
10 I 0.3257 0.6743 0.5000  2 H 2.10
11 I 0.6743 0.3257 0.5000  2 H 2.10

=====

Question: Number 2 is which compound?
Answer: H7Se2I2

=====

Question: Among the records above, which one has the lowest raw total energy?
Answer: HSeI2

=====

Question: Which of these has the highest raw total energy?
Answer: H7Se2I2